(1)
DFT (GGA-PBE) results for HoScAu4 after structural relaxation.

Computed properties:
Calculated formation energy in meV/atom: -832
Crystal system: tetragonal
Magnetization in μB per formula unit: 0.00

Lattice parameters (Å, degrees): 3.6468 3.6468 8.9753 90.00 90.00 90.00
Last column: nearest neighbours and their distance in Å.
Fractional coordinates of all 6 atoms:
Ho 0.0000 0.0000 0.0000  10 Au 3.00-3.06
Sc 0.5000 0.5000 0.5000  10 Au 2.95
Au 0.0000 0.0000 0.3415  5 Au 2.85-3.00, 4 Sc 2.95, 1 Ho 3.06
Au 0.0000 0.0000 0.6585  5 Au 2.85-3.00, 4 Sc 2.95, 1 Ho 3.06
Au 0.5000 0.5000 0.1713  1 Sc 2.95, 5 Au 3.00-3.07, 4 Ho 3.00
Au 0.5000 0.5000 0.8287  1 Sc 2.95, 5 Au 3.00-3.07, 4 Ho 3.00

---

(2)
DFT (GGA-PBE) results for HoSc2Au after structural relaxation.

Computed properties:
Calculated formation energy in meV/atom: -162
Crystal system: cubic
Magnetization in μB per formula unit: 0.79

Lattice parameters (Å, degrees): 5.0231 5.0231 5.0231 60.00 60.00 60.00
Last column: nearest neighbours and their distance in Å.
Fractional coordinates of all 4 atoms:
Ho 0.0000 0.0000 0.0000  8 Sc 3.08
Sc 0.2500 0.2500 0.2500  4 Au 3.08, 4 Ho 3.08
Sc 0.7500 0.7500 0.7500  4 Au 3.08, 4 Ho 3.08
Au 0.5000 0.5000 0.5000  8 Sc 3.08

---

(3)
DFT (GGA-PBE) results for HoScAu6 after structural relaxation.

Computed properties:
Calculated formation energy in meV/atom: -634
Crystal system: monoclinic
Magnetization in μB per formula unit: 0.00

Lattice parameters (Å, degrees): 5.0647 5.0647 8.7670 115.43 115.43 51.54
Last column: nearest neighbours and their distance in Å.
Fractional coordinates of all 8 atoms:
Ho 0.0000 0.0000 0.0000  12 Au 2.99-3.13
Sc 0.0000 0.0000 0.5000  12 Au 2.91-3.08
Au 0.2477 0.2477 0.8653  1 Sc 2.91, 8 Au 2.94-3.21, 3 Ho 2.99-3.01
Au 0.2523 0.2523 0.3828  8 Au 2.93-3.09, 3 Sc 2.93-2.97, 1 Ho 3.03
Au 0.4951 0.4951 0.2512  8 Au 2.93-3.04, 2 Sc 3.08, 2 Ho 3.13
Au 0.5049 0.5049 0.7488  8 Au 2.93-3.04, 2 Sc 3.08, 2 Ho 3.13
Au 0.7477 0.7477 0.6172  8 Au 2.93-3.09, 3 Sc 2.93-2.97, 1 Ho 3.03
Au 0.7523 0.7523 0.1347  1 Sc 2.91, 8 Au 2.94-3.21, 3 Ho 2.99-3.01

---

(4)
DFT (GGA-PBE) results for HoScAu after structural relaxation.

Computed properties:
Calculated formation energy in meV/atom: -427
Crystal system: cubic
Magnetization in μB per formula unit: 0.00

Lattice parameters (Å, degrees): 4.8180 4.8180 4.8180 60.00 60.00 60.00
Last column: nearest neighbours and their distance in Å.
Fractional coordinates of all 3 atoms:
Ho 0.0000 0.0000 0.0000  4 Au 2.95
Sc 0.5000 0.5000 0.5000  4 Au 2.95
Au 0.7500 0.7500 0.7500  4 Sc 2.95, 4 Ho 2.95

---

(5)
DFT (GGA-PBE) results for HoScAu after structural relaxation.

Computed properties:
Calculated formation energy in meV/atom: -438
Crystal system: trigonal
Magnetization in μB per formula unit: 0.00

Lattice parameters (Å, degrees): 4.7436 4.7436 3.6899 90.00 90.00 120.00
Last column: nearest neighbours and their distance in Å.
Fractional coordinates of all 3 atoms:
Ho 0.0000 0.0000 0.0000  3 Au 3.05, 6 Sc 3.25-3.36
Sc 0.3333 0.6667 0.5255  3 Au 2.80
Au 0.6667 0.3333 0.3629  3 Sc 2.80, 3 Ho 3.05

---

(6)
DFT (GGA-PBE) results for Ho4ScAu2 after structural relaxation.

Computed properties:
Calculated formation energy in meV/atom: -274
Crystal system: trigonal
Magnetization in μB per formula unit: 0.00

Lattice parameters (Å, degrees): 9.1174 9.1174 9.1174 32.76 32.76 32.76
Last column: nearest neighbours and their distance in Å.
Fractional coordinates of all 7 atoms:
Ho 0.1219 0.1219 0.1219  3 Sc 3.19, 3 Au 3.33, 3 Ho 3.55
Ho 0.2867 0.2867 0.2867  4 Au 2.86-3.00
Ho 0.7133 0.7133 0.7133  4 Au 2.86-3.00
Ho 0.8781 0.8781 0.8781  3 Sc 3.19, 3 Au 3.33, 3 Ho 3.55
Sc 0.5000 0.5000 0.5000  2 Au 2.65
Au 0.3974 0.3974 0.3974  1 Sc 2.65, 1 Ho 2.86
Au 0.6026 0.6026 0.6026  1 Sc 2.65, 1 Ho 2.86